Record 1
First-principles (PBE) data for a geometry-optimized ZrScCdRe structure, as listed in Alexandria via LeMat-Bulk.

Computed properties:
Size of the total moment in μB per atom: 0.00
ΔH_f (0 K) in eV per atom: -0.120
E_tot in eV/atom: -7.181
Fermi-level density of states in states/eV/f.u.: 3.229

Lattice parameters (Å, degrees): 6.773 6.773 6.773 90.00 90.00 90.00
Space group F-43m (No. 216)
Asymmetric unit:
Zr (0.000, 0.000, 0.000) (multiplicity 4)
Sc (0.000, 0.000, 0.500) (multiplicity 4)
Cd (0.250, 0.250, 0.250) (multiplicity 4)
Re (0.250, 0.250, 0.750) (multiplicity 4)

***

Record 2
First-principles (PBE) data for a geometry-optimized Ta2CrIr structure, as listed in Alexandria via LeMat-Bulk.

Computed properties:
Size of the total moment in μB per atom: 0.00
ΔH_f (0 K) in eV per atom: -0.198
E_tot in eV/atom: -10.745
Fermi-level density of states in states/eV/f.u.: 3.774

Lattice parameters (Å, degrees): 3.264 4.318 8.948 90.00 90.00 90.00
Space group Imm2 (No. 44)
Asymmetric unit:
Ta (0.000, 0.000, 0.000) (multiplicity 2)
Ta (0.000, 0.500, 0.243) (multiplicity 2)
Cr (0.000, 0.000, 0.510) (multiplicity 2)
Ir (0.000, 0.500, 0.751) (multiplicity 2)

***

Record 3
First-principles (PBE) data for a geometry-optimized TbEuTe structure, as listed in Alexandria via LeMat-Bulk.

Computed properties:
Size of the total moment in μB per atom: 2.63
E_tot in eV/atom: -6.615
Fermi-level density of states in states/eV/f.u.: 4.561

Lattice parameters (Å, degrees): 5.2513 5.2513 4.2523 90.00 90.00 120.00
Space group P-6m2 (No. 187)
Asymmetric unit:
Tb (0.0000, 0.0000, 0.0000) (multiplicity 1)
Eu (0.6667, 0.3333, 0.5000) (multiplicity 1)
Te (0.3333, 0.6667, 0.0000) (multiplicity 1)

***

Record 4
First-principles (PBE) data for a geometry-optimized Tm2Hg4Pb structure, as listed in Alexandria via LeMat-Bulk.

Computed properties:
Size of the total moment in μB per atom: 0.00
ΔH_f (0 K) in eV per atom: -0.267
Relative energy among the computed polymorphs in eV/atom: 0.0000
E_tot in eV/atom: -2.247
Fermi-level density of states in states/eV/f.u.: 2.961

Lattice parameters (Å, degrees): 5.1421 5.1421 23.1538 90.00 90.00 120.00
Space group R-3m (No. 166, hexagonal axes)
Asymmetric unit:
Tm (0.0000, 0.0000, 0.2232) (multiplicity 6)
Hg (0.0000, 0.0000, 0.0741) (multiplicity 6)
Hg (0.0000, 0.0000, 0.3578) (multiplicity 6)
Pb (0.0000, 0.0000, 0.5000) (multiplicity 3)

***

Record 5
First-principles (PBE) data for a geometry-optimized DyScPb2 structure, as listed in Alexandria via LeMat-Bulk.

Computed properties:
Size of the total moment in μB per atom: 0.00
ΔH_f (0 K) in eV per atom: -0.379
E_tot in eV/atom: -4.966
Fermi-level density of states in states/eV/f.u.: 3.588

Lattice parameters (Å, degrees): 6.215 6.223 11.697 90.00 103.38 90.00
Space group P2/c (No. 13)
Asymmetric unit:
Dy (0.186, 0.128, 0.129) (multiplicity 4)
Sc (0.332, 0.369, 0.878) (multiplicity 4)
Pb (0.163, 0.373, 0.612) (multiplicity 4)
Pb (0.329, 0.137, 0.402) (multiplicity 4)

***

Record 6
First-principles (PBE) data for a geometry-optimized BTe2IN structure, as listed in Alexandria via LeMat-Bulk.

Computed properties:
Size of the total moment in μB per atom: 0.00
Relative energy among the computed polymorphs in eV/atom: 0.0000
E_tot in eV/atom: -4.434
Fermi-level density of states in states/eV/f.u.: 4.195

Lattice parameters (Å, degrees): 8.620 8.620 2.718 90.00 90.00 90.00
Space group P4/mmm (No. 123)
Asymmetric unit:
B (0.000, 0.000, 0.000) (multiplicity 1)
Te (0.000, 0.500, 0.000) (multiplicity 2)
I (0.500, 0.500, 0.500) (multiplicity 1)
N (0.000, 0.000, 0.500) (multiplicity 1)

***

Record 7
First-principles (PBE) data for a geometry-optimized LaOsBr2 structure, as listed in Alexandria via LeMat-Bulk.

Computed properties:
Size of the total moment in μB per atom: 0.00
Relative energy among the computed polymorphs in eV/atom: 0.2356
E_tot in eV/atom: -5.122
Fermi-level density of states in states/eV/f.u.: 2.511

Lattice parameters (Å, degrees): 15.321 3.466 4.344 90.00 106.12 90.00
Space group Cm (No. 8)
Asymmetric unit:
La (0.000, 0.000, 0.000) (multiplicity 2)
Os (0.148, 0.500, 0.145) (multiplicity 2)
Br (0.154, 0.000, 0.651) (multiplicity 2)
Br (0.394, 0.000, 0.396) (multiplicity 2)

***

Record 8
First-principles (PBE) data for a geometry-optimized Sr2TePtCl structure, as listed in Alexandria via LeMat-Bulk.

Computed properties:
Size of the total moment in μB per atom: 0.00
E_tot in eV/atom: -3.188
Fermi-level density of states in states/eV/f.u.: 1.110

Lattice parameters (Å, degrees): 6.185 6.185 5.322 90.00 90.00 90.00
Space group P4/mmm (No. 123)
Asymmetric unit:
Sr (0.000, 0.500, 0.000) (multiplicity 2)
Te (0.000, 0.000, 0.000) (multiplicity 1)
Pt (0.500, 0.500, 0.500) (multiplicity 1)
Cl (0.000, 0.000, 0.500) (multiplicity 1)

***

Record 9
First-principles (PBE) data for a geometry-optimized LaCoPt structure, as listed in Alexandria via LeMat-Bulk.

Computed properties:
Size of the total moment in μB per atom: 0.46
ΔH_f (0 K) in eV per atom: -0.260
E_tot in eV/atom: -6.284
Fermi-level density of states in states/eV/f.u.: 4.273

Lattice parameters (Å, degrees): 3.554 3.566 9.687 90.00 90.00 90.00
Space group Imm2 (No. 44)
Asymmetric unit:
La (0.000, 0.000, 0.000) (multiplicity 2)
Co (0.000, 0.000, 0.728) (multiplicity 2)
Pt (0.000, 0.000, 0.300) (multiplicity 2)

***

Record 10
First-principles (PBE) data for a geometry-optimized Ba2CaScPd structure, as listed in Alexandria via LeMat-Bulk.

Computed properties:
Size of the total moment in μB per atom: 0.00
ΔH_f (0 K) in eV per atom: 0.262
E_tot in eV/atom: -3.212
Fermi-level density of states in states/eV/f.u.: 6.110

Lattice parameters (Å, degrees): 6.611 6.611 4.824 90.00 90.00 90.00
Space group P4/mmm (No. 123)
Asymmetric unit:
Ba (0.000, 0.500, 0.000) (multiplicity 2)
Ca (0.000, 0.000, 0.500) (multiplicity 1)
Sc (0.500, 0.500, 0.000) (multiplicity 1)
Pd (0.500, 0.500, 0.500) (multiplicity 1)

***

Record 11
First-principles (PBE) data for a geometry-optimized YMoN2 structure, as listed in Alexandria via LeMat-Bulk.

Computed properties:
Size of the total moment in μB per atom: 0.00
E_tot in eV/atom: -9.216
Fermi-level density of states in states/eV/f.u.: 2.752

Lattice parameters (Å, degrees): 4.898 4.898 10.132 90.00 90.00 90.00
Space group I-42d (No. 122)
Asymmetric unit:
Y (0.000, 0.000, 0.000) (multiplicity 4)
Mo (0.000, 0.000, 0.500) (multiplicity 4)
N (0.192, 0.250, 0.625) (multiplicity 8)

***

Record 12
First-principles (PBE) data for a geometry-optimized NaScCdBr6 structure, as listed in Alexandria via LeMat-Bulk.

Computed properties:
Size of the total moment in μB per atom: 0.00
E_tot in eV/atom: -3.442
Fermi-level density of states in states/eV/f.u.: 0.000

Lattice parameters (Å, degrees): 7.0232 7.0232 13.2534 90.00 90.00 120.00
Space group P-31c (No. 163)
Asymmetric unit:
Na (0.0000, 0.0000, 0.0000) (multiplicity 2)
Sc (0.3333, 0.6667, 0.2500) (multiplicity 2)
Cd (0.3333, 0.6667, 0.7500) (multiplicity 2)
Br (0.0151, 0.3660, 0.1325) (multiplicity 12)

***

Fermi-level density of states of number 2 (Ta2CrIr)? 3.774 states/eV/f.u.